Here is an optimized crystal structure of CoAgAsO from the Open Quantum Materials Database. Energies are from PBE+U.

Cell and atoms, written as POSCAR:
```
CoAgAsO
1.0
3.8374 0.0000 0.0000
0.0000 3.8374 0.0000
0.0000 0.0000 7.4047
Co Ag As O
2 2 2 2
Cartesian
0.9594 2.8781 0.0000
2.8781 0.9594 0.0000
0.9594 0.9594 2.5594
2.8781 2.8781 4.8452
0.9594 0.9594 6.1260
2.8781 2.8781 1.2787
0.9594 2.8781 3.7023
2.8781 0.9594 3.7023
```

Summary:
- E above lowest polymorph (meV per atom) = 468